# 1
# Nd3HoS4

A relaxed structure of Nd3HoS4 (PBE, the Alexandria database).

Properties
- Formation energy without anion corrections: -1.982 eV/atom
- Energy relative to the lowest polymorph listed for this composition: 30 meV/atom

a = 5.6972 Å, b = 5.6972 Å, c = 5.6972 Å
α = 90.00°, β = 90.00°, γ = 90.00°
Positions (direct):
Nd: 0.0000 0.0000 0.5000
Nd: 0.0000 0.5000 0.0000
Nd: 0.5000 0.0000 0.0000
Ho: 0.5000 0.5000 0.5000
S: 0.0000 0.0000 0.0000
S: 0.0000 0.5000 0.5000
S: 0.5000 0.0000 0.5000
S: 0.5000 0.5000 0.0000


# 2
# Mn2CdIn

A relaxed structure of Mn2CdIn (PBE, the Alexandria database).

Properties
- DFT formation energy: 0.420 eV/atom

a = 4.6966 Å, b = 4.6966 Å, c = 4.6966 Å
α = 60.00°, β = 60.00°, γ = 60.00°
Positions (direct):
Mn: 0.0000 0.0000 0.0000
Mn: 0.2500 0.2500 0.2500
Cd: 0.7500 0.7500 0.7500
In: 0.5000 0.5000 0.5000


# 3
# Er4InCu2Ru

A relaxed structure of Er4InCu2Ru (PBE, the Alexandria database).

Properties
- DFT formation energy: -0.379 eV/atom

a = 8.5818 Å, b = 8.5818 Å, c = 8.5818 Å
α = 33.60°, β = 33.60°, γ = 33.60°
Positions (direct):
Er: 0.1153 0.1153 0.1153
Er: 0.3678 0.3678 0.3678
Er: 0.6322 0.6322 0.6322
Er: 0.8847 0.8847 0.8847
In: 0.5000 0.5000 0.5000
Cu: 0.2435 0.2435 0.2435
Cu: 0.7565 0.7565 0.7565
Ru: 0.0000 0.0000 0.0000


# 4
# Pr5Y4Sc

A relaxed structure of Pr5Y4Sc (PBE, the Alexandria database).

Properties
- Energy relative to the lowest polymorph listed for this composition: 23 meV/atom
- DFT formation energy: 0.046 eV/atom

a = 8.7370 Å, b = 8.7370 Å, c = 11.5696 Å
α = 108.47°, β = 108.47°, γ = 23.73°
Positions (direct):
Pr: 0.0000 0.0000 0.0000
Pr: 0.1049 0.1049 0.2977
Pr: 0.2860 0.2860 0.8820
Pr: 0.7140 0.7140 0.1180
Pr: 0.8951 0.8951 0.7023
Y: 0.3139 0.3139 0.4261
Y: 0.4163 0.4163 0.2156
Y: 0.5837 0.5837 0.7844
Y: 0.6861 0.6861 0.5739
Sc: 0.0000 0.0000 0.5000


# 5
# In2P3S9

A relaxed structure of In2P3S9 (PBE, the Alexandria database).

Properties
- Formation energy without anion corrections: -0.360 eV/atom

a = 7.4882 Å, b = 10.6734 Å, c = 18.5301 Å
α = 90.00°, β = 105.92°, γ = 90.00°
Positions (direct):
In: 0.0007 0.1482 0.3242
In: 0.0007 0.3518 0.8242
In: 0.0020 0.1788 0.0101
In: 0.0020 0.3212 0.5101
In: 0.9980 0.6788 0.4899
In: 0.9980 0.8212 0.9899
In: 0.9993 0.6482 0.1758
In: 0.9993 0.8518 0.6758
P: 0.1552 0.0086 0.8522
P: 0.1552 0.4914 0.3522
P: 0.1558 0.0039 0.5140
P: 0.1558 0.4961 0.0140
P: 0.1564 0.5137 0.6838
P: 0.1564 0.9863 0.1838
P: 0.8436 0.0137 0.8162
P: 0.8436 0.4863 0.3162
P: 0.8442 0.5039 0.9860
P: 0.8442 0.9961 0.4860
P: 0.8448 0.5086 0.6478
P: 0.8448 0.9914 0.1478
S: 0.2255 0.1734 0.9127
S: 0.2255 0.3266 0.4127
S: 0.2263 0.5050 0.5823
S: 0.2263 0.9950 0.0823
S: 0.2281 0.5093 0.9172
S: 0.2281 0.9907 0.4172
S: 0.2308 0.6559 0.0786
S: 0.2308 0.8441 0.5786
S: 0.2367 0.0154 0.7571
S: 0.2367 0.4846 0.2571
S: 0.2373 0.6498 0.4124
S: 0.2373 0.8502 0.9124
S: 0.2384 0.1548 0.5814
S: 0.2384 0.3452 0.0814
S: 0.2377 0.6742 0.7407
S: 0.2377 0.8258 0.2407
S: 0.2402 0.1446 0.2430
S: 0.2402 0.3554 0.7430
S: 0.7598 0.6446 0.2570
S: 0.7598 0.8554 0.7570
S: 0.7623 0.1742 0.7593
S: 0.7623 0.3258 0.2593
S: 0.7616 0.6548 0.9186
S: 0.7616 0.8452 0.4186
S: 0.7627 0.1498 0.0876
S: 0.7627 0.3502 0.5876
S: 0.7633 0.5154 0.7429
S: 0.7633 0.9846 0.2429
S: 0.7692 0.1559 0.4214
S: 0.7692 0.3441 0.9214
S: 0.7719 0.0093 0.5828
S: 0.7719 0.4907 0.0828
S: 0.7737 0.0050 0.9177
S: 0.7737 0.4950 0.4177
S: 0.7745 0.6734 0.5873
S: 0.7745 0.8266 0.0873


Number 1: electronic total energy -51.25 eV/cell. Number 2: electronic total energy -20.31 eV/cell. Number 3: electronic total energy -41.49 eV/cell. Number 4: electronic total energy -55.63 eV/cell. Number 5: electronic total energy -255.60 eV/cell.